DFT (PBE+U) results for FeBiBO4 after structural relaxation.

Cell lengths 5.3109, 8.5228, 6.8571 Å; angles 90.00, 90.00, 90.00 degrees
Space group Cmcm (No. 63)
Unique sites:
Fe (0.0000, 0.0000, 0.0000) x4
Bi (0.0000, 0.3224, 0.2500) x4
B (0.0000, 0.3335, 0.7500) x4
O (0.0000, 0.2299, 0.5787) x8
O (0.2303, 0.4396, 0.7500) x8

Results
Total DFT energy (no corrections), eV/atom: -6.800
Mass density, g cm⁻³: 7.3